Entry 1:
DFT (PBE) results for a relaxed LiYS2 crystal.

Structure (POSCAR):
```
LiYS2
1.0
6.585 -0.001 0.000
5.420 3.739 0.000
5.420 1.688 3.336
Y S Li
1 2 1
Direct
0.000 0.000 0.000
0.250 0.250 0.250
0.750 0.750 0.750
0.500 0.500 0.500
```

Summary:
Calculated density   3.2 Mg/m³
Total DFT energy (no corrections)   -6.0094 eV/atom
Energy relative to the elements, uncorrected   -42.69 kcal/mol of atoms
Symmetry   R-3m

Entry 2:
DFT (PBE) results for a relaxed LiY4S6 crystal.

Structure (POSCAR):
```
LiY4S6
1.0
3.901 0.000 0.000
-1.951 6.494 0.000
0.000 0.000 20.212
Li Y S
2 8 12
Direct
0.679 0.357 0.250
0.321 0.643 0.750
0.868 0.735 0.545
0.403 0.806 0.139
0.132 0.265 0.455
0.597 0.194 0.861
0.868 0.735 0.955
0.132 0.265 0.045
0.597 0.194 0.639
0.403 0.806 0.361
0.500 0.000 0.000
0.500 0.000 0.500
0.040 0.079 0.338
0.960 0.921 0.662
0.960 0.921 0.838
0.040 0.079 0.162
0.776 0.551 0.420
0.224 0.449 0.580
0.224 0.449 0.920
0.776 0.551 0.080
0.298 0.595 0.250
0.702 0.405 0.750
```

Summary:
Calculated density   3.6 Mg/m³
Total DFT energy (no corrections)   -6.7048 eV/atom
Energy relative to the elements, uncorrected   -44.48 kcal/mol of atoms
Symmetry   Cmcm